Here is a geometry-optimized ScPt2F structure from Alexandria via LeMat-Bulk. Energies are from PBE.

Cell: 4.4547 4.4547 4.4547 Å, 60.00 60.00 60.00°
Positions (direct):
Sc (0.0000, 0.0000, 0.0000)
Pt (0.2500, 0.2500, 0.2500)
Pt (0.7500, 0.7500, 0.7500)
F (0.5000, 0.5000, 0.5000)

Results
Energy above the lowest structure with this stoichiometry in meV/atom: 162
Space group: Fm-3m, No. 225

Here is a geometry-optimized Li2PdRh structure from Alexandria via LeMat-Bulk. Energies are from PBE.

Cell: 9.1648 9.1648 9.1648 Å, 17.05 17.05 17.05°
Positions (direct):
Li (0.0883, 0.0883, 0.0883)
Li (0.9117, 0.9117, 0.9117)
Pd (0.5000, 0.5000, 0.5000)
Rh (0.0000, 0.0000, 0.0000)

Results
E_tot in eV per atom: -4.251
Space group: R-3m, No. 166

Here is a geometry-optimized TiMoPb2Se structure from Alexandria via LeMat-Bulk. Energies are from PBE.

Cell: 5.6331 5.6331 4.6630 Å, 90.00 90.00 90.00°
Positions (direct):
Ti (0.0000, 0.0000, 0.0000)
Mo (0.5000, 0.5000, 0.0000)
Pb (0.0000, 0.5000, 0.5000)
Pb (0.5000, 0.0000, 0.5000)
Se (0.0000, 0.0000, 0.5000)

Results
E_tot in eV per atom: -4.905
Space group: P4/mmm, No. 123

Here is a geometry-optimized LiCaDyRh structure from Alexandria via LeMat-Bulk. Energies are from PBE.

Cell: 4.9687 4.9687 4.9687 Å, 60.00 60.00 60.00°
Positions (direct):
Li (0.0000, 0.0000, 0.0000)
Ca (0.2500, 0.2500, 0.2500)
Dy (0.7500, 0.7500, 0.7500)
Rh (0.5000, 0.5000, 0.5000)

Results
E_tot in eV per atom: -4.312
Space group: F-43m, No. 216

Here is a geometry-optimized CeHfTh structure from Alexandria via LeMat-Bulk. Energies are from PBE.

Cell: 15.6049 15.6049 15.6049 Å, 167.95 167.95 17.07°
Positions (direct):
Ce (0.2117, 0.2117, 0.0000)
Ce (0.7883, 0.7883, 0.0000)
Hf (0.0488, 0.0488, 0.0000)
Hf (0.9512, 0.9512, 0.0000)
Th (0.3739, 0.3739, 0.0000)
Th (0.6261, 0.6261, 0.0000)

Results
Energy above the lowest structure with this stoichiometry in meV/atom: 150
Space group: I4/mmm, No. 139

Here is a geometry-optimized ZnGa2Hg structure from Alexandria via LeMat-Bulk. Energies are from PBE.

Cell: 7.1784 7.1784 7.1784 Å, 30.62 30.62 30.62°
Positions (direct):
Zn (0.0000, 0.0000, 0.0000)
Ga (0.2604, 0.2604, 0.2604)
Ga (0.7396, 0.7396, 0.7396)
Hg (0.5000, 0.5000, 0.5000)

Results
Energy above the lowest structure with this stoichiometry in meV/atom: 58
Space group: R-3m, No. 166

Here is a geometry-optimized IrBrCl2 structure from Alexandria via LeMat-Bulk. Energies are from PBE.

Cell: 3.1853 3.1853 8.8340 Å, 90.00 90.00 90.00°
Positions (direct):
Ir (0.0000, 0.0000, 0.0000)
Br (0.5000, 0.5000, 0.1596)
Cl (0.0000, 0.0000, 0.4536)
Cl (0.5000, 0.5000, 0.8160)

Results
Energy above the lowest structure with this stoichiometry in meV/atom: 1132
Space group: P4mm, No. 99

Here is a geometry-optimized Ga2S2F structure from Alexandria via LeMat-Bulk. Energies are from PBE.

Cell: 5.7501 5.7501 5.7501 Å, 136.69 136.69 62.92°
Positions (direct):
Ga (0.1208, 0.1208, 0.0000)
Ga (0.8792, 0.8792, 0.0000)
S (0.2500, 0.7500, 0.5000)
S (0.7500, 0.2500, 0.5000)
F (0.5000, 0.5000, 0.0000)

Results
Energy above the lowest structure with this stoichiometry in meV/atom: 335
Space group: I4/mmm, No. 139

Here is a geometry-optimized Li6PbF12 structure from Alexandria via LeMat-Bulk. Energies are from PBE.

Cell: 6.1062 6.1062 6.1062 Å, 99.69 99.69 99.69°
Positions (direct):
Li (0.0980, 0.6480, 0.8504)
Li (0.1496, 0.9020, 0.3520)
Li (0.3520, 0.1496, 0.9020)
Li (0.6480, 0.8504, 0.0980)
Li (0.8504, 0.0980, 0.6480)
Li (0.9020, 0.3520, 0.1496)
Pb (0.5000, 0.5000, 0.5000)
F (0.0739, 0.9012, 0.6929)
F (0.0988, 0.3071, 0.9261)
F (0.1786, 0.5638, 0.3760)
F (0.3071, 0.9261, 0.0988)
F (0.3760, 0.1786, 0.5638)
F (0.4362, 0.6240, 0.8214)
F (0.5638, 0.3760, 0.1786)
F (0.6240, 0.8214, 0.4362)
F (0.6929, 0.0739, 0.9012)
F (0.8214, 0.4362, 0.6240)
F (0.9012, 0.6929, 0.0739)
F (0.9261, 0.0988, 0.3071)

Results
E_tot in eV per atom: -4.282
Space group: R-3, No. 148

Here is a geometry-optimized KMoAu2 structure from Alexandria via LeMat-Bulk. Energies are from PBE.

Cell: 2.9883 2.9883 9.1872 Å, 90.00 90.00 90.00°
Positions (direct):
K (0.0000, 0.0000, 0.0000)
Mo (0.0000, 0.0000, 0.5000)
Au (0.5000, 0.5000, 0.2957)
Au (0.5000, 0.5000, 0.7043)

Results
Energy above the lowest structure with this stoichiometry in meV/atom: 0
Space group: P4/mmm, No. 123

Here is a geometry-optimized Tl2InSe2O6 structure from Alexandria via LeMat-Bulk. Energies are from PBE.

Cell: 6.5367 6.5367 6.5367 Å, 56.74 56.74 56.74°
Positions (direct):
Tl (0.2130, 0.2130, 0.2130)
Tl (0.7870, 0.7870, 0.7870)
In (0.0000, 0.0000, 0.0000)
Se (0.4161, 0.4161, 0.4161)
Se (0.5839, 0.5839, 0.5839)
O (0.2357, 0.7553, 0.7553)
O (0.2447, 0.2447, 0.7643)
O (0.2447, 0.7643, 0.2447)
O (0.7553, 0.2357, 0.7553)
O (0.7553, 0.7553, 0.2357)
O (0.7643, 0.2447, 0.2447)

Results
E_tot in eV per atom: -4.696
Space group: R-3m, No. 166

Here is a geometry-optimized AuIO2F structure from Alexandria via LeMat-Bulk. Energies are from PBE.

Cell: 4.4432 4.4432 4.1624 Å, 90.00 90.00 90.00°
Positions (direct):
Au (0.0000, 0.0000, 0.0000)
I (0.5000, 0.5000, 0.0000)
O (0.0000, 0.5000, 0.5000)
O (0.5000, 0.0000, 0.5000)
F (0.5000, 0.5000, 0.5000)

Results
E_tot in eV per atom: -2.194
Space group: P4/mmm, No. 123